1.
# CaWF5

A relaxed CaWF5 crystal (PBEsol, the Alexandria database).

For the uncorrected formation energy, the calculation gives -2.721 eV/atom. The total energy comes out at -6.375 eV/atom.

It has space group C2/c (No. 15), with a = 9.1710 Å, b = 6.7707 Å, c = 7.7089 Å, α = 90.00°, β = 113.63° and γ = 90.00°. Symmetry generates all atoms from Ca at (0.0000, 0.0315, 0.2500), W at (0.0000, 0.5000, 0.0000), F at (0.0000, 0.3850, 0.2500), F at (0.0057, 0.1969, 0.9719) and F at (0.2399, 0.4717, 0.6269).



2.
# CaWF6

A relaxed CaWF6 crystal (PBEsol, the Alexandria database).

For the uncorrected formation energy, the calculation gives -2.927 eV/atom. The total energy comes out at -6.365 eV/atom.

It has space group R-3 (No. 148, hexagonal axes), with a = 5.8524 Å, b = 5.8524 Å, c = 14.6219 Å, α = 90.00°, β = 90.00° and γ = 120.00°. Symmetry generates all atoms from Ca at (0.0000, 0.0000, 0.0000), W at (0.0000, 0.0000, 0.5000) and F at (0.0220, 0.5619, 0.2448).



3.
# CaYF2

A relaxed CaYF2 crystal (PBEsol, the Alexandria database).

For the uncorrected formation energy, the calculation gives -2.749 eV/atom. The total energy comes out at -5.951 eV/atom.

It has space group R-3m (No. 166, hexagonal axes), with a = 3.8120 Å, b = 3.8120 Å, c = 18.4068 Å, α = 90.00°, β = 90.00° and γ = 120.00°. Symmetry generates all atoms from Ca at (0.0000, 0.0000, 0.0000), Y at (0.0000, 0.0000, 0.5000) and F at (0.0000, 0.0000, 0.3771).



4.
# CaZrF6

A relaxed CaZrF6 crystal (PBEsol, the Alexandria database).

For the uncorrected formation energy, the calculation gives -3.863 eV/atom. The total energy comes out at -6.711 eV/atom.

It has space group Fm-3m (No. 225), with a = 8.5061 Å, b = 8.5061 Å, c = 8.5061 Å, α = 90.00°, β = 90.00° and γ = 90.00°. Symmetry generates all atoms from Ca at (0.0000, 0.0000, 0.0000), Zr at (0.0000, 0.0000, 0.5000) and F at (0.0000, 0.0000, 0.2636).



5.
# CaZr3F

A relaxed CaZr3F crystal (PBEsol, the Alexandria database).

For the uncorrected formation energy, the calculation gives -0.426 eV/atom. The total energy comes out at -6.692 eV/atom.

It has space group Pm-3m (No. 221), with a = 4.6701 Å, b = 4.6701 Å, c = 4.6701 Å, α = 90.00°, β = 90.00° and γ = 90.00°. Symmetry generates all atoms from Ca at (0.0000, 0.0000, 0.0000), Zr at (0.0000, 0.5000, 0.5000) and F at (0.5000, 0.5000, 0.5000).



6.
# Ca5Fe

A relaxed Ca5Fe crystal (PBEsol, the Alexandria database).

The total energy comes out at -2.896 eV/atom.

It has space group Cmmm (No. 65), with a = 5.0056 Å, b = 14.7236 Å, c = 5.2739 Å, α = 90.00°, β = 90.00° and γ = 90.00°. Symmetry generates all atoms from Ca at (0.0000, 0.0000, 0.0000), Ca at (0.0000, 0.1470, 0.5000), Ca at (0.0000, 0.3438, 0.0000) and Fe at (0.0000, 0.5000, 0.5000).